1.
Compound: P6Pt7
Source: the Alexandria database
Functional: GGA-PBE
Structure: optimized geometry

POSCAR file:
```
P6Pt7
1.0
8.457 0.003 0.002
6.469 5.447 0.002
6.469 2.362 4.908
Pt P
7 6
Direct
0.425 0.923 0.425
0.500 0.500 0.500
0.077 0.575 0.575
0.575 0.077 0.575
0.575 0.575 0.077
0.425 0.425 0.923
0.923 0.425 0.425
0.666 0.666 0.666
0.908 0.908 0.908
0.815 0.815 0.815
0.185 0.185 0.185
0.092 0.092 0.092
0.334 0.334 0.334
```

Calculated values
formation energy = 13 meV per atom
crystal system = trigonal
space group = No. 166

=====

2.
Compound: Sr2GaHgTe5
Source: the Alexandria database
Functional: GGA-PBE
Structure: optimized geometry

POSCAR file:
```
Sr2GaHgTe5
1.0
4.390 0.000 0.000
-2.195 10.442 0.000
0.000 0.000 13.360
Ga Te Sr Hg
2 10 4 2
Direct
0.422 0.844 0.440
0.578 0.156 0.940
0.054 0.107 0.052
0.624 0.248 0.473
0.376 0.752 0.973
0.294 0.589 0.403
0.488 0.976 0.272
0.706 0.411 0.903
0.946 0.893 0.552
0.259 0.518 0.702
0.512 0.024 0.772
0.741 0.482 0.202
0.900 0.800 0.146
0.100 0.200 0.646
0.882 0.764 0.790
0.118 0.236 0.290
0.755 0.511 0.546
0.245 0.489 0.046
```

Calculated values
crystal system = orthorhombic
space group = No. 36
formation energy from raw total energies = -7.18 eV/f.u.

=====

3.
Compound: Zn2RePt
Source: the Alexandria database
Functional: GGA-PBE
Structure: optimized geometry

POSCAR file:
```
Zn2RePt
1.0
5.323 0.002 0.000
2.429 4.737 0.000
-3.130 -3.590 2.378
Zn Pt Re
2 1 1
Direct
0.496 0.496 0.000
0.004 0.004 0.000
0.250 0.750 0.500
0.750 0.250 0.500
```

Calculated values
formation energy = 44 meV per atom
crystal system = orthorhombic
space group = No. 71
distance to the lowest polymorph of the same formula = 0.117 eV per atom

=====

no.,total energy (eV per atom),Fermi-level density of states (states/eV per atom)
1,-5.736,0.31
2,-3.287,0.33
3,-5.215,0.65